[1]
An optimized crystal structure of Cs3InTe3. Source: the Alexandria database, functional PBE-GGA.

The structure belongs to space group C2/m (No. 12); the cell edges are 10.4252, 15.6283 and 9.1568 Å and the angles 90.00°, 102.08° and 90.00°. The asymmetric unit holds Cs at (0.0000, 0.1748, 0.0000), Cs at (0.0000, 0.2383, 0.5000), Cs at (0.1072, 0.5000, 0.8500), In at (0.1714, 0.0000, 0.6518), Te at (0.1027, 0.0000, 0.3278) and Te at (0.2017, 0.3527, 0.2195).

Its mass density is 4.08 g cm⁻³. The formation energy without anion corrections comes out at -0.928 eV per atom.


[2]
An optimized crystal structure of Cs2InTe4. Source: the Alexandria database, functional PBE-GGA.

The structure belongs to space group I4/mmm (No. 139); the cell edges are 5.9489, 5.9489 and 19.0123 Å and the angles 90.00°, 90.00° and 90.00°. The asymmetric unit holds Cs at (0.0000, 0.0000, 0.1435), In at (0.0000, 0.0000, 0.5000), Te at (0.0000, 0.0000, 0.3526) and Te at (0.0000, 0.5000, 0.0000).

Its mass density is 4.40 g cm⁻³. The formation energy without anion corrections comes out at -0.342 eV per atom.


[3]
An optimized crystal structure of CsIn3Te. Source: the Alexandria database, functional PBE-GGA.

The structure belongs to space group Pm-3m (No. 221); the cell edges are 6.2824, 6.2824 and 6.2824 Å and the angles 90.00°, 90.00° and 90.00°. The asymmetric unit holds Cs at (0.0000, 0.0000, 0.0000), In at (0.0000, 0.5000, 0.5000) and Te at (0.5000, 0.5000, 0.5000).

Its mass density is 4.05 g cm⁻³. The formation energy without anion corrections comes out at 0.169 eV per atom. The calculation puts the distance to the lowest polymorph of the same formula at 0 meV/atom.


[4]
An optimized crystal structure of CsInTe. Source: the Alexandria database, functional PBE-GGA.

The structure belongs to space group F-43m (No. 216); the cell edges are 8.5107, 8.5107 and 8.5107 Å and the angles 90.00°, 90.00° and 90.00°. The asymmetric unit holds Cs at (0.0000, 0.0000, 0.0000), In at (0.0000, 0.0000, 0.5000) and Te at (0.2500, 0.2500, 0.7500).

Its mass density is 4.04 g cm⁻³. The formation energy without anion corrections comes out at -0.466 eV per atom. The calculation puts the distance to the lowest polymorph of the same formula at 210 meV/atom.


[5]
An optimized crystal structure of Cs2ThInTe4. Source: the Alexandria database, functional PBE-GGA.

The structure belongs to space group I-42m (No. 121); the cell edges are 9.3412, 9.3412 and 8.2188 Å and the angles 90.00°, 90.00° and 90.00°. The asymmetric unit holds Cs at (0.0000, 0.5000, 0.0000), Th at (0.0000, 0.0000, 0.0000), In at (0.0000, 0.0000, 0.5000) and Te at (0.1680, 0.1680, 0.7505).

Its mass density is 5.20 g cm⁻³. The formation energy without anion corrections comes out at -0.855 eV per atom.


[6]
An optimized crystal structure of CsTh2InTe5. Source: the Alexandria database, functional PBE-GGA.

The structure belongs to space group I4/mcm (No. 140); the cell edges are 8.7321, 8.7321 and 18.3066 Å and the angles 90.00°, 90.00° and 90.00°. The asymmetric unit holds Cs at (0.0000, 0.0000, 0.2500), Th at (0.1568, 0.3432, 0.0000), In at (0.0000, 0.5000, 0.2500), Te at (0.0000, 0.0000, 0.0000) and Te at (0.1466, 0.3534, 0.3907).

Its mass density is 6.42 g cm⁻³. The formation energy without anion corrections comes out at -1.014 eV per atom.


[7]
An optimized crystal structure of Cs2ThInTe5. Source: the Alexandria database, functional PBE-GGA.

The structure belongs to space group Cmc2_1 (No. 36); the cell edges are 4.4203, 23.1514 and 16.6840 Å and the angles 90.00°, 90.00° and 90.00°. The asymmetric unit holds Cs at (0.0000, 0.1310, 0.0000), Cs at (0.0000, 0.1342, 0.3718), Th at (0.0000, 0.2020, 0.6997), In at (0.0000, 0.4322, 0.1036), Te at (0.0000, 0.0587, 0.7109), Te at (0.0000, 0.3046, 0.3278), Te at (0.0000, 0.3097, 0.0617), Te at (0.0000, 0.3339, 0.6859) and Te at (0.0000, 0.4928, 0.9615).

Its mass density is 4.87 g cm⁻³. The formation energy without anion corrections comes out at -0.857 eV per atom.


[8]
An optimized crystal structure of CsTlIn2Te4. Source: the Alexandria database, functional PBE-GGA.

The structure belongs to space group I222 (No. 23); the cell edges are 7.6390, 8.5741 and 9.1925 Å and the angles 90.00°, 90.00° and 90.00°. The asymmetric unit holds Cs at (0.0000, 0.0000, 0.0000), Tl at (0.0000, 0.0000, 0.5000), In at (0.0000, 0.5000, 0.3249) and Te at (0.2334, 0.1908, 0.6754).

Its mass density is 5.94 g cm⁻³. The formation energy without anion corrections comes out at -0.334 eV per atom.


[9]
An optimized crystal structure of Cs2TlIn2Te4. Source: the Alexandria database, functional PBE-GGA.

The structure belongs to space group C2/m (No. 12); the cell edges are 18.3169, 5.1801 and 8.7941 Å and the angles 90.00°, 109.53° and 90.00°. The asymmetric unit holds Cs at (0.1237, 0.0000, 0.0382), Tl at (0.0000, 0.0000, 0.5000), In at (0.1689, 0.5000, 0.4918), Te at (0.0264, 0.5000, 0.2451) and Te at (0.2078, 0.0000, 0.6659).

Its mass density is 5.11 g cm⁻³. The formation energy without anion corrections comes out at -0.615 eV per atom.


[10]
An optimized crystal structure of CsTmInTe3. Source: the Alexandria database, functional PBE-GGA.

The structure belongs to space group P2_1/m (No. 11); the cell edges are 9.9074, 4.3049 and 12.2385 Å and the angles 90.00°, 111.42° and 90.00°. The asymmetric unit holds Cs at (0.2293, 0.2500, 0.2806), Tm at (0.3659, 0.7500, 0.8487), In at (0.1218, 0.2500, 0.5735), Te at (0.1308, 0.2500, 0.8108), Te at (0.3343, 0.7500, 0.5877) and Te at (0.4030, 0.7500, 0.1062).

Its mass density is 5.46 g cm⁻³. The formation energy without anion corrections comes out at -0.984 eV per atom.


[11]
An optimized crystal structure of Cs3Tm3InTe8. Source: the Alexandria database, functional PBE-GGA.

The structure belongs to space group C2/m (No. 12); the cell edges are 15.2153, 8.7587 and 10.5271 Å and the angles 90.00°, 118.88° and 90.00°. The asymmetric unit holds Cs at (0.0000, 0.0000, 0.0000), Cs at (0.2500, 0.2500, 0.0000), Tm at (0.0000, 0.5000, 0.5000), Tm at (0.2500, 0.2500, 0.5000), In at (0.0000, 0.0000, 0.5000), Te at (0.0217, 0.2519, 0.3132), Te at (0.2299, 0.0000, 0.6865) and Te at (0.2297, 0.5000, 0.6890).

Its mass density is 5.52 g cm⁻³. The formation energy without anion corrections comes out at -1.089 eV per atom.


[12]
An optimized crystal structure of Cs2TmInTe4. Source: the Alexandria database, functional PBE-GGA.

The structure belongs to space group Fddd (No. 70, origin choice 2); the cell edges are 6.9096, 15.9803 and 28.1427 Å and the angles 90.00°, 90.00° and 90.00°. The asymmetric unit holds Cs at (0.1250, 0.1250, 0.3066), Tm at (0.1250, 0.1250, 0.1250), In at (0.1250, 0.1250, 0.6250) and Te at (0.1178, 0.2705, 0.8191).

Its mass density is 4.53 g cm⁻³. The formation energy without anion corrections comes out at -0.978 eV per atom.